w) A plane-wave DFT calculation with PBE-GGA was carried out for a relaxed MnV3N crystal.

a = 4.2394 Å, b = 4.2394 Å, c = 4.2394 Å
α = 90.00°, β = 90.00°, γ = 90.00°
Space group Pm-3m (No. 221)
Asymmetric unit:
Mn (0.0000, 0.0000, 0.0000)
V (0.0000, 0.0000, 0.5000)
N (0.5000, 0.5000, 0.5000)

## Properties
Total magnetization (μB/cell): 0.0



x) A plane-wave DFT calculation with PBE-GGA was carried out for a relaxed MnV3N crystal.

a = 3.9150 Å, b = 3.9150 Å, c = 3.9150 Å
α = 90.00°, β = 90.00°, γ = 90.00°
Space group Pm-3m (No. 221)
Asymmetric unit:
Mn (0.0000, 0.0000, 0.0000)
V (0.0000, 0.5000, 0.5000)
N (0.5000, 0.5000, 0.5000)

## Properties
Total magnetization (μB/cell): 2.0



It comes down to x), which is 2104 meV/atom more stable than the next structure.



w) A plane-wave DFT calculation with PBE-GGA was carried out for a relaxed MnWN crystal.

a = 5.4498 Å, b = 5.4498 Å, c = 5.4498 Å
α = 90.00°, β = 90.00°, γ = 90.00°
Space group P2_13 (No. 198)
Asymmetric unit:
Mn (0.1383, 0.1383, 0.1383)
W (0.1485, 0.3515, 0.6485)
N (0.1609, 0.6609, 0.8391)

## Properties
Total magnetization (μB/cell): 12.5



x) A plane-wave DFT calculation with PBE-GGA was carried out for a relaxed MnWN crystal.

a = 3.5514 Å, b = 3.5514 Å, c = 3.0169 Å
α = 90.00°, β = 90.00°, γ = 120.00°
Space group P3m1 (No. 156)
Asymmetric unit:
Mn (0.0000, 0.0000, 0.0000)
W (0.6667, 0.3333, 0.5678)
N (0.3333, 0.6667, 0.8496)

## Properties
Total magnetization (μB/cell): 0.0



It comes down to w), which is 292 meV/atom more stable than the next structure.



w) A plane-wave DFT calculation with PBE-GGA was carried out for a relaxed MnZn3N crystal.

a = 4.5965 Å, b = 4.5965 Å, c = 4.5965 Å
α = 90.00°, β = 90.00°, γ = 90.00°
Space group Pm-3m (No. 221)
Asymmetric unit:
Mn (0.0000, 0.0000, 0.0000)
Zn (0.0000, 0.0000, 0.5000)
N (0.5000, 0.5000, 0.5000)

## Properties
Total magnetization (μB/cell): 0.0



x) A plane-wave DFT calculation with PBE-GGA was carried out for a relaxed MnZn3N crystal.

a = 4.1593 Å, b = 4.1593 Å, c = 4.1593 Å
α = 90.00°, β = 90.00°, γ = 90.00°
Space group Pm-3m (No. 221)
Asymmetric unit:
Mn (0.0000, 0.0000, 0.0000)
Zn (0.0000, 0.5000, 0.5000)
N (0.5000, 0.5000, 0.5000)

## Properties
Total magnetization (μB/cell): 3.9



It comes down to x), which is 1394 meV/atom more stable than the next structure.